A relaxed structure of MnTl2GeO4. Source: Alexandria, functional PBE with a Hubbard U.

Output
- Calculated total energy: -47.3 eV per cell
- Space group: P1 (1)

a = 5.561 Å, b = 5.786 Å, c = 5.806 Å
α = 62.13°, β = 62.45°, γ = 62.19°
Positions (direct):
1 Mn 0.000 0.000 0.000
2 Tl 0.278 0.251 0.248
3 Tl 0.517 0.503 0.503
4 Ge 0.737 0.755 0.756
5 O 0.030 0.775 0.786
6 O 0.412 0.955 0.945
7 O 0.737 0.407 0.880
8 O 0.745 0.879 0.407


A relaxed structure of Mn2TlGeO8. Source: Alexandria, functional PBE with a Hubbard U.

Output
- Calculated total energy: -74.1 eV per cell
- Space group: P2/m (10)

a = 4.625 Å, b = 6.228 Å, c = 4.635 Å
α = 90.00°, β = 92.17°, γ = 90.00°
Positions (direct):
1 Mn 0.000 0.242 0.000
2 Mn 0.000 0.758 0.000
3 Tl 0.500 0.500 0.500
4 Ge 0.500 0.000 0.500
5 O 0.170 0.500 0.833
6 O 0.195 0.000 0.807
7 O 0.297 0.218 0.300
8 O 0.297 0.782 0.300
9 O 0.703 0.218 0.700
10 O 0.703 0.782 0.700
11 O 0.805 0.000 0.193
12 O 0.830 0.500 0.167


A relaxed structure of TmMn2GeO6. Source: Alexandria, functional PBE with a Hubbard U.

Output
- Calculated total energy: -73.9 eV per cell
- Space group: R3 (146)

a = 5.667 Å, b = 5.667 Å, c = 5.667 Å
α = 54.70°, β = 54.70°, γ = 54.70°
Positions (direct):
1 Tm 0.000 0.000 0.000
2 Mn 0.273 0.273 0.273
3 Mn 0.799 0.799 0.799
4 Ge 0.482 0.482 0.482
5 O 0.088 0.676 0.428
6 O 0.210 0.594 0.844
7 O 0.428 0.088 0.676
8 O 0.594 0.844 0.210
9 O 0.676 0.428 0.088
10 O 0.844 0.210 0.594


A relaxed structure of MnV2GeO6. Source: Alexandria, functional PBE with a Hubbard U.

Output
- Calculated total energy: -75.2 eV per cell
- Space group: P1 (1)

a = 5.155 Å, b = 5.162 Å, c = 5.528 Å
α = 90.64°, β = 117.49°, γ = 119.29°
Positions (direct):
1 Mn 0.000 0.000 0.000
2 V 0.561 0.285 0.843
3 V 0.574 0.796 0.364
4 Ge 0.968 0.486 0.451
5 O 0.068 0.408 0.163
6 O 0.076 0.214 0.638
7 O 0.427 0.864 0.635
8 O 0.503 0.093 0.165
9 O 0.752 0.664 0.165
10 O 0.772 0.567 0.637